# 1
Computed, not measured: NdGdMg2 after structural relaxation at the PBE-GGA level of DFT. Values from VASP.

```
&SYSTEM
  ibrav = 0, nat = 4, ntyp = 3
/
ATOMIC_SPECIES
Gd 157.25 Gd.upf
Mg 24.30 Mg.upf
Nd 144.24 Nd.upf
ATOMIC_POSITIONS angstrom
Gd 0.000 0.000 0.000
Mg 2.315 -2.231 -0.866
Mg 6.945 -6.693 -2.597
Nd 4.630 -4.462 -1.731
CELL_PARAMETERS angstrom
5.343 -0.941 -0.363
1.957 -4.976 0.984
1.959 -3.008 -4.084
```

## Properties
Total DFT energy (no corrections)   -3.23 eV/atom
Space-group type   No. 225
Density   5.115 g/cm³

---

# 2
Computed, not measured: NpTaCo after structural relaxation at the PBE-GGA level of DFT. Values from VASP.

```
&SYSTEM
  ibrav = 0, nat = 3, ntyp = 3
/
ATOMIC_SPECIES
Co 58.93 Co.upf
Np 237.00 Np.upf
Ta 180.95 Ta.upf
ATOMIC_POSITIONS angstrom
Co 0.000 0.000 0.000
Np 1.520 1.520 1.520
Ta 3.041 3.041 3.041
CELL_PARAMETERS angstrom
0.000 3.041 3.041
3.041 0.000 3.041
3.041 3.041 0.000
```

## Properties
Energy of formation from the pure elements   1.07 eV per atom
Total DFT energy (no corrections)   -9.51 eV/atom
ΔE to the lowest computed polymorph   506.5 meV per atom
Space-group type   No. 216
Density   14.083 g/cm³

---

# 3
Computed, not measured: Nb3CuSi5 after structural relaxation at the PBE-GGA level of DFT. Values from VASP.

```
&SYSTEM
  ibrav = 0, nat = 9, ntyp = 3
/
ATOMIC_SPECIES
Cu 63.55 Cu.upf
Nb 92.91 Nb.upf
Si 28.09 Si.upf
ATOMIC_POSITIONS angstrom
Cu 0.000 0.000 0.000
Nb 2.767 0.000 3.244
Nb -1.384 2.397 3.244
Nb 1.384 2.397 3.244
Si 2.767 1.598 1.142
Si 0.000 3.195 1.142
Si 0.000 0.000 3.244
Si 2.767 1.598 5.346
Si 0.000 3.195 5.346
CELL_PARAMETERS angstrom
5.535 0.000 0.000
-2.767 4.793 0.000
0.000 0.000 6.488
```

## Properties
Total DFT energy (no corrections)   -6.51 eV/atom
Space-group type   No. 191
Density   4.656 g/cm³

---

# 4
Computed, not measured: TcSnAu2 after structural relaxation at the PBE-GGA level of DFT. Values from VASP.

```
&SYSTEM
  ibrav = 0, nat = 4, ntyp = 3
/
ATOMIC_SPECIES
Au 196.97 Au.upf
Sn 118.71 Sn.upf
Tc 98.00 Tc.upf
ATOMIC_POSITIONS angstrom
Au 0.000 0.000 0.000
Au 4.944 4.944 4.944
Sn 3.296 3.296 3.296
Tc 1.648 1.648 1.648
CELL_PARAMETERS angstrom
0.000 3.296 3.296
3.296 0.000 3.296
3.296 3.296 0.000
```

## Properties
Total DFT energy (no corrections)   -4.94 eV/atom
Space-group type   No. 216
Density   14.162 g/cm³

---

# 5
Computed, not measured: AcPaAl after structural relaxation at the PBE-GGA level of DFT. Values from VASP.

```
&SYSTEM
  ibrav = 0, nat = 9, ntyp = 3
/
ATOMIC_SPECIES
Ac 227.00 Ac.upf
Al 26.98 Al.upf
Pa 231.04 Pa.upf
ATOMIC_POSITIONS angstrom
Ac -0.928 2.712 4.509
Ac 1.262 -2.157 4.722
Ac 1.487 0.665 -0.094
Al -0.508 5.516 2.655
Al 1.607 0.864 3.231
Al 3.696 -3.831 3.065
Pa -0.975 2.369 1.343
Pa 1.079 -2.196 1.543
Pa 0.229 0.381 6.346
CELL_PARAMETERS angstrom
-3.118 7.580 4.296
3.451 -7.026 4.936
2.975 1.330 -0.187
```

## Properties
Total DFT energy (no corrections)   -5.41 eV/atom
ΔE to the lowest computed polymorph   0.0 meV per atom
Space-group type   No. 189
Density   9.982 g/cm³

---

# 6
Computed, not measured: NbAlTc after structural relaxation at the PBE-GGA level of DFT. Values from VASP.

```
&SYSTEM
  ibrav = 0, nat = 3, ntyp = 3
/
ATOMIC_SPECIES
Al 26.98 Al.upf
Nb 92.91 Nb.upf
Tc 98.00 Tc.upf
ATOMIC_POSITIONS angstrom
Al 3.375 2.803 3.000
Nb 1.688 1.402 1.500
Tc 0.000 0.000 0.000
CELL_PARAMETERS angstrom
4.059 0.203 1.521
1.942 3.849 0.496
0.750 1.554 3.982
```

## Properties
Total DFT energy (no corrections)   -7.52 eV/atom
ΔE to the lowest computed polymorph   966.4 meV per atom
Space-group type   No. 216
Density   6.261 g/cm³

---

# 7
Computed, not measured: Y2TlZn2Ga after structural relaxation at the PBE-GGA level of DFT. Values from VASP.

```
&SYSTEM
  ibrav = 0, nat = 6, ntyp = 4
/
ATOMIC_SPECIES
Ga 69.72 Ga.upf
Tl 204.38 Tl.upf
Y 88.91 Y.upf
Zn 65.41 Zn.upf
ATOMIC_POSITIONS angstrom
Ga -4.287 -0.487 3.038
Tl -2.433 1.135 -0.739
Y -1.308 0.627 2.110
Y -3.115 1.494 5.026
Zn -2.076 -1.546 -0.528
Zn -4.062 1.916 1.890
CELL_PARAMETERS angstrom
-1.983 3.431 -2.249
-1.934 -4.126 0.027
-3.723 1.785 6.007
```

## Properties
Total DFT energy (no corrections)   -3.94 eV/atom
Space-group type   No. 156
Density   7.383 g/cm³

---

# 8
Computed, not measured: Zn2GaSe3 after structural relaxation at the PBE-GGA level of DFT. Values from VASP.

```
&SYSTEM
  ibrav = 0, nat = 12, ntyp = 3
/
ATOMIC_SPECIES
Ga 69.72 Ga.upf
Se 78.96 Se.upf
Zn 65.41 Zn.upf
ATOMIC_POSITIONS angstrom
Ga -0.168 -2.720 -0.280
Ga -2.469 -1.977 3.273
Se -2.377 -2.273 -1.588
Se -4.598 -1.568 1.777
Se 2.862 -5.512 2.062
Se -0.826 -3.615 2.088
Se 0.810 -4.997 5.576
Se -6.575 -0.908 5.387
Zn -3.504 -4.467 -2.009
Zn -3.926 -0.656 -0.462
Zn -2.025 -5.770 1.665
Zn 1.317 -3.996 3.333
CELL_PARAMETERS angstrom
-6.944 0.153 -1.784
4.006 -5.773 -1.434
-0.600 -0.681 7.234
```

## Properties
Total DFT energy (no corrections)   -3.20 eV/atom
Space-group type   No. 9
Density   4.786 g/cm³

---

# 9
Computed, not measured: Zr4In3W2N3 after structural relaxation at the PBE-GGA level of DFT. Values from VASP.

```
&SYSTEM
  ibrav = 0, nat = 24, ntyp = 4
/
ATOMIC_SPECIES
In 114.82 In.upf
N 14.01 N.upf
W 183.84 W.upf
Zr 91.22 Zr.upf
ATOMIC_POSITIONS angstrom
In -5.815 4.454 3.338
In -3.793 5.790 1.531
In -2.992 3.398 3.196
In -5.144 9.935 8.260
In -4.342 7.543 9.925
In -2.321 8.879 8.118
N -3.440 2.480 -0.725
N -2.606 -0.129 1.075
N -5.667 1.023 1.284
N -4.508 7.992 4.818
N -1.462 6.795 4.653
N -3.627 5.341 6.638
W -4.850 2.992 0.850
W -3.568 6.046 4.581
W -4.567 7.287 6.875
W -3.285 10.341 10.606
Zr -1.852 1.950 0.766
Zr -7.884 4.315 1.102
Zr -0.503 4.819 4.238
Zr -6.561 7.106 4.647
Zr -1.575 6.227 6.809
Zr -7.632 8.513 7.218
Zr -0.252 9.018 10.354
Zr -6.284 11.382 10.690
CELL_PARAMETERS angstrom
-3.896 3.761 -1.592
-5.211 -0.258 2.151
0.972 9.830 10.897
```

## Properties
Total DFT energy (no corrections)   -8.40 eV/atom
Space-group type   No. 15
Density   9.388 g/cm³

---

# 10
Computed, not measured: AcSmW after structural relaxation at the PBE-GGA level of DFT. Values from VASP.

```
&SYSTEM
  ibrav = 0, nat = 3, ntyp = 3
/
ATOMIC_SPECIES
Ac 227.00 Ac.upf
Sm 150.36 Sm.upf
W 183.84 W.upf
ATOMIC_POSITIONS angstrom
Ac -7.707 5.181 -0.659
Sm -2.569 1.727 -0.220
W 0.000 0.000 0.000
CELL_PARAMETERS angstrom
-3.182 3.024 2.532
-2.141 3.952 -2.340
-4.953 -0.068 -1.071
```

## Properties
Energy of formation from the pure elements   0.84 eV per atom
Total DFT energy (no corrections)   -6.42 eV/atom
ΔE to the lowest computed polymorph   0.0 meV per atom
Space-group type   No. 216
Density   10.126 g/cm³

---

# 11
Computed, not measured: ZnPtSeO after structural relaxation at the PBE-GGA level of DFT. Values from VASP.

```
&SYSTEM
  ibrav = 0, nat = 16, ntyp = 4
/
ATOMIC_SPECIES
O 16.00 O.upf
Pt 195.08 Pt.upf
Se 78.96 Se.upf
Zn 65.41 Zn.upf
ATOMIC_POSITIONS angstrom
O 3.378 0.885 1.666
O 0.838 7.885 1.666
O 4.241 0.885 4.546
O 1.702 7.885 4.546
Pt 0.017 2.054 0.385
Pt 2.556 6.716 0.385
Pt 2.523 2.054 3.265
Pt 5.063 6.716 3.265
Se 0.641 3.286 2.360
Se 3.180 5.484 2.360
Se 1.899 3.286 5.240
Se 4.438 5.484 5.240
Zn 0.211 0.773 2.789
Zn 2.750 7.997 2.789
Zn 2.329 0.773 5.669
Zn 4.868 7.997 5.669
CELL_PARAMETERS angstrom
5.079 0.000 0.000
0.000 8.770 0.000
0.000 0.000 5.760
```

## Properties
Total DFT energy (no corrections)   -4.41 eV/atom
ΔE to the lowest computed polymorph   40.4 meV per atom
Space-group type   No. 29
Density   9.202 g/cm³

---

# 12
Computed, not measured: Lu2Ga3Ni14 after structural relaxation at the PBE-GGA level of DFT. Values from VASP.

```
&SYSTEM
  ibrav = 0, nat = 38, ntyp = 3
/
ATOMIC_SPECIES
Ga 69.72 Ga.upf
Lu 174.97 Lu.upf
Ni 58.69 Ni.upf
ATOMIC_POSITIONS angstrom
Ga -3.050 -2.598 -1.165
Ga 3.155 0.812 -2.603
Ga 0.106 -1.785 -3.767
Ga -0.978 -5.720 0.373
Ga 5.228 -2.310 -1.065
Ga 2.178 -4.908 -2.230
Lu 1.036 -1.561 0.769
Lu -0.927 -4.483 -2.519
Lu 3.108 -4.683 2.307
Lu 5.282 -5.332 -1.940
Ni -0.875 -1.595 -1.557
Ni -3.953 -4.216 -2.732
Ni -0.768 -3.396 -5.358
Ni 2.599 -1.289 -3.931
Ni 3.091 -1.172 -1.209
Ni 1.348 -2.656 -1.875
Ni 5.066 -0.663 -2.838
Ni 1.414 -3.774 -4.233
Ni 5.126 -1.683 -4.992
Ni 3.217 -3.310 -5.721
Ni 3.821 -3.130 -3.025
Ni 1.109 -6.225 -3.965
Ni 1.002 -4.423 -0.164
Ni -2.075 -7.045 -1.339
Ni 6.431 -2.771 -3.120
Ni 3.353 -5.392 -4.296
Ni 3.247 -3.590 -0.494
Ni 0.535 -6.685 -1.435
Ni 1.139 -6.505 1.262
Ni -0.771 -8.132 0.533
Ni 2.942 -6.041 -0.227
Ni -0.710 -9.152 -1.621
Ni 3.008 -7.159 -2.585
Ni 1.265 -8.643 -3.250
Ni 1.757 -8.526 -0.528
Ni 5.124 -6.419 0.899
Ni 8.308 -5.599 -1.727
Ni 5.231 -8.220 -2.903
CELL_PARAMETERS angstrom
-6.100 -5.196 -2.329
6.311 1.625 -5.206
4.145 -6.244 3.075
```

## Properties
Total DFT energy (no corrections)   -5.43 eV/atom
Space-group type   No. 194
Density   9.393 g/cm³